A plane-wave DFT calculation with PBE+U was carried out for CsK2NiO after structural relaxation.

a = 5.6570 Å, b = 5.6570 Å, c = 5.4682 Å
α = 90.00°, β = 90.00°, γ = 90.00°
Positions (direct):
1 Cs 0.0000 0.0000 0.0000
2 K 0.0000 0.5000 0.5000
3 K 0.5000 0.0000 0.5000
4 Ni 0.0000 0.0000 0.5000
5 O 0.5000 0.5000 0.0000

Calculated values
Electronic total energy ... -1.484 eV per atom